Computed, not measured: a relaxed structure of PrDyY2Er5 at the PBE-GGA level of DFT.

Computed properties:
- ΔH_f (0 K): 0.16 eV per atom
- Symmetry: Cmc2_1, No. 36
- Spin magnetization: 0.000 μB per formula unit
- Fermi-level density of states: 29.4 states/eV/cell

Cell: 5.603 10.236 10.571 Å, 90.00 90.00 105.88°
Fractional positions:
Er1 0.981 0.962 0.526
Y1 0.889 0.779 0.234
Pr1 0.583 0.165 0.953
Er2 0.479 0.958 0.736
Y2 0.113 0.226 0.320
Er3 0.611 0.223 0.522
Er4 0.019 0.038 0.026
Pr2 0.417 0.835 0.453
Y3 0.887 0.774 0.820
Er5 0.718 0.436 0.812
Y4 0.111 0.221 0.734
Er6 0.389 0.777 0.022
Dy1 0.201 0.403 0.012
Er7 0.702 0.404 0.210
Er8 0.282 0.564 0.312
Er9 0.521 0.042 0.236
Dy2 0.799 0.597 0.512
Er10 0.298 0.596 0.710



Computed, not measured: a relaxed structure of CaHPb at the PBE-GGA level of DFT.

Computed properties:
- Distance to the lowest polymorph of the same formula: 0.157 eV/atom
- Symmetry: Imma, No. 74
- Spin magnetization: 0.000 μB per formula unit
- Fermi-level density of states: 4.3 states/eV/cell

Cell: 5.888 4.056 11.081 Å, 90.00 90.00 90.00°
Fractional positions:
Ca1 0.000 0.750 0.368
Pb1 0.500 0.250 0.390
Pb2 0.000 0.250 0.110
Pb3 0.500 0.750 0.610
Pb4 0.000 0.750 0.890
Ca2 0.500 0.250 0.868
Ca3 0.500 0.750 0.132
H1 0.000 0.750 0.565
H2 0.000 0.250 0.435
Ca4 0.000 0.250 0.632
H3 0.500 0.750 0.935
H4 0.500 0.250 0.065



Computed, not measured: a relaxed structure of BeCuSi2 at the PBE-GGA level of DFT.

Computed properties:
- Symmetry: C2/m, No. 12
- Spin magnetization: 0.000 μB per formula unit
- Fermi-level density of states: 1.0 states/eV/cell
- Formation energy without anion corrections: 0.22 eV/atom

Cell: 4.068 4.068 4.790 Å, 78.31 78.31 39.68°
Fractional positions:
Si1 0.002 0.002 0.990
Cu1 0.250 0.250 0.250
Si2 0.498 0.498 0.510
Be1 0.750 0.750 0.750



Computed, not measured: a relaxed structure of CuAg5Br4Cl2 at the PBE-GGA level of DFT.

Computed properties:
- Symmetry: Amm2, No. 38
- Spin magnetization: 0.125 μB per formula unit
- Formation energy without anion corrections: -0.34 eV/atom

Cell: 6.465 6.912 7.962 Å, 90.00 90.00 117.88°
Last column: magnetic moment on the atom in μB.
Fractional positions:
Ag1 0.369 0.000 0.500  0.00
Cl1 0.315 0.352 0.500  0.00
Br1 0.069 0.673 0.000  0.01
Cl2 0.963 0.648 0.500  0.00
Br2 0.670 0.000 0.748  0.01
Ag2 0.073 0.398 0.246  0.00
Br3 0.395 0.327 0.000  0.01
Ag3 0.073 0.398 0.754  0.00
Cu1 0.458 0.000 0.000  0.09
Ag4 0.675 0.602 0.246  0.00
Br4 0.670 0.000 0.252  0.01
Ag5 0.675 0.602 0.754  0.00



- What is the formula in the third record?
  BeCuSi2



What did the fourth record say?
Computed, not measured: a relaxed structure of CuAg5Br4Cl2 at the PBE-GGA level of DFT.

Computed properties:
- Symmetry: Amm2, No. 38
- Spin magnetization: 0.125 μB per formula unit
- Formation energy without anion corrections: -0.34 eV/atom

Cell: 6.465 6.912 7.962 Å, 90.00 90.00 117.88°
Last column: magnetic moment on the atom in μB.
Fractional positions:
Ag1 0.369 0.000 0.500  0.00
Cl1 0.315 0.352 0.500  0.00
Br1 0.069 0.673 0.000  0.01
Cl2 0.963 0.648 0.500  0.00
Br2 0.670 0.000 0.748  0.01
Ag2 0.073 0.398 0.246  0.00
Br3 0.395 0.327 0.000  0.01
Ag3 0.073 0.398 0.754  0.00
Cu1 0.458 0.000 0.000  0.09
Ag4 0.675 0.602 0.246  0.00
Br4 0.670 0.000 0.252  0.01
Ag5 0.675 0.602 0.754  0.00



- What is the spin magnetization in the third record?
  0.000 μB per formula unit